(1)
DFT (PBE) results for a relaxed Tc2AgSe crystal.

a b c (Å): 2.9919 4.5617 9.4410
angles (deg): 90.00 90.00 90.00
Atoms (fractional coordinates):
Tc: 0.0000 0.0000 0.2113
Tc: 0.0000 0.0000 0.7887
Tc: 0.5000 0.5000 0.2887
Tc: 0.5000 0.5000 0.7113
Ag: 0.0000 0.5000 0.0000
Ag: 0.5000 0.0000 0.5000
Se: 0.0000 0.5000 0.5000
Se: 0.5000 0.0000 0.0000

Results
**Space-group type**: Immm
**Formation energy (no corrections)**: 496.3 meV per atom



(2)
DFT (PBE) results for a relaxed TcAgSe2 crystal.

a b c (Å): 4.6396 5.5716 7.3469
angles (deg): 86.86 72.59 78.62
Atoms (fractional coordinates):
Tc: 0.0000 0.0000 0.0000
Tc: 0.3525 0.2369 0.0022
Ag: 0.0266 0.4210 0.7169
Ag: 0.4460 0.6405 0.4096
Se: 0.0483 0.6227 0.2166
Se: 0.3936 0.6454 0.7917
Se: 0.5404 0.1223 0.2753
Se: 0.7828 0.0571 0.7257

Results
**Space-group type**: P1
**Formation energy (no corrections)**: -148.6 meV per atom



(3)
DFT (PBE) results for a relaxed TcAg2Se crystal.

a b c (Å): 3.1021 3.1021 7.3483
angles (deg): 90.00 90.00 90.00
Atoms (fractional coordinates):
Tc: 0.0000 0.0000 0.0000
Ag: 0.0000 0.0000 0.5197
Ag: 0.5000 0.5000 0.2674
Se: 0.5000 0.5000 0.8320

Results
**Space-group type**: P4mm
**Formation energy (no corrections)**: 138.8 meV per atom



(4)
DFT (PBE) results for a relaxed TcAgSe2 crystal.

a b c (Å): 3.2907 3.2907 8.2912
angles (deg): 90.00 90.00 120.00
Atoms (fractional coordinates):
Tc: 0.0000 0.0000 0.0000
Ag: 0.3333 0.6667 0.4858
Se: 0.3333 0.6667 0.8063
Se: 0.6667 0.3333 0.2177

Results
**Space-group type**: P3m1
**Formation energy (no corrections)**: -39.9 meV per atom



(5)
DFT (PBE) results for a relaxed Tc2AgSe crystal.

a b c (Å): 2.9466 3.7096 6.3299
angles (deg): 90.00 90.44 90.00
Atoms (fractional coordinates):
Tc: 0.0000 0.0000 0.0000
Tc: 0.4716 0.5000 0.1766
Ag: 0.9809 0.0000 0.4492
Se: 0.4655 0.5000 0.7786

Results
**Space-group type**: Pm
**Formation energy (no corrections)**: 355.3 meV per atom



(6)
DFT (PBE) results for a relaxed Tc2AgSe crystal.

a b c (Å): 4.4656 4.4656 3.0925
angles (deg): 90.00 90.00 90.00
Atoms (fractional coordinates):
Tc: 0.0000 0.5000 0.0000
Tc: 0.5000 0.0000 0.0000
Ag: 0.0000 0.0000 0.5000
Se: 0.5000 0.5000 0.5000

Results
**Space-group type**: P4/mmm
**Formation energy (no corrections)**: 605.1 meV per atom



(7)
DFT (PBE) results for a relaxed Tc2AgSe crystal.

a b c (Å): 3.9197 3.9197 19.0488
angles (deg): 90.00 90.00 90.00
Atoms (fractional coordinates):
Tc: 0.1679 0.2500 0.1250
Tc: 0.2500 0.6679 0.3750
Tc: 0.2500 0.8321 0.8750
Tc: 0.3321 0.2500 0.6250
Tc: 0.6679 0.7500 0.6250
Tc: 0.7500 0.1679 0.8750
Tc: 0.7500 0.3321 0.3750
Tc: 0.8321 0.7500 0.1250
Ag: 0.0000 0.0000 0.5000
Ag: 0.0000 0.5000 0.7500
Ag: 0.5000 0.0000 0.2500
Ag: 0.5000 0.5000 0.0000
Se: 0.0000 0.0000 0.0000
Se: 0.0000 0.5000 0.2500
Se: 0.5000 0.0000 0.7500
Se: 0.5000 0.5000 0.5000

Results
**Space-group type**: I-42d
**Formation energy (no corrections)**: 676.2 meV per atom



(8)
DFT (PBE) results for a relaxed TcAg2Se crystal.

a b c (Å): 3.0478 3.0478 28.1124
angles (deg): 90.00 90.00 120.00
Atoms (fractional coordinates):
Tc: 0.0000 0.0000 0.0000
Tc: 0.3333 0.6667 0.6667
Tc: 0.6667 0.3333 0.3333
Ag: 0.0000 0.0000 0.2502
Ag: 0.0000 0.0000 0.5015
Ag: 0.3333 0.6667 0.1682
Ag: 0.3333 0.6667 0.9169
Ag: 0.6667 0.3333 0.5836
Ag: 0.6667 0.3333 0.8348
Se: 0.0000 0.0000 0.7260
Se: 0.3333 0.6667 0.3927
Se: 0.6667 0.3333 0.0594

Results
**Space-group type**: R3m
**Formation energy (no corrections)**: 116.9 meV per atom



(9)
DFT (PBE) results for a relaxed TcAgSe2 crystal.

a b c (Å): 3.0497 3.0497 30.2255
angles (deg): 90.00 90.00 120.00
Atoms (fractional coordinates):
Tc: 0.0000 0.0000 0.0000
Tc: 0.3333 0.6667 0.6667
Tc: 0.6667 0.3333 0.3333
Ag: 0.0000 0.0000 0.7454
Ag: 0.3333 0.6667 0.4121
Ag: 0.6667 0.3333 0.0787
Se: 0.0000 0.0000 0.2780
Se: 0.0000 0.0000 0.4889
Se: 0.3333 0.6667 0.1556
Se: 0.3333 0.6667 0.9447
Se: 0.6667 0.3333 0.6114
Se: 0.6667 0.3333 0.8223

Results
**Space-group type**: R3m
**Formation energy (no corrections)**: 137.4 meV per atom



(10)
DFT (PBE) results for a relaxed TcAgSe2 crystal.

a b c (Å): 8.6046 10.1588 5.7260
angles (deg): 90.00 131.66 90.00
Atoms (fractional coordinates):
Tc: 0.0000 0.0000 0.0000
Tc: 0.0000 0.0000 0.5000
Tc: 0.5000 0.5000 0.0000
Tc: 0.5000 0.5000 0.5000
Ag: 0.3668 0.1049 0.1167
Ag: 0.3668 0.8951 0.6167
Ag: 0.8668 0.3951 0.6167
Ag: 0.8668 0.6049 0.1167
Se: 0.1998 0.1429 0.4495
Se: 0.1998 0.8571 0.9495
Se: 0.2776 0.3673 0.0279
Se: 0.2776 0.6327 0.5279
Se: 0.6998 0.3571 0.9495
Se: 0.6998 0.6429 0.4495
Se: 0.7776 0.1327 0.5279
Se: 0.7776 0.8673 0.0279

Results
**Space-group type**: Cc
**Formation energy (no corrections)**: -121.8 meV per atom



(11)
DFT (PBE) results for a relaxed TcAg2Se crystal.

a b c (Å): 2.8802 2.8802 29.5636
angles (deg): 90.00 90.00 120.00
Atoms (fractional coordinates):
Tc: 0.0000 0.0000 0.0000
Tc: 0.3333 0.6667 0.6667
Tc: 0.6667 0.3333 0.3333
Ag: 0.0000 0.0000 0.2544
Ag: 0.0000 0.0000 0.7456
Ag: 0.3333 0.6667 0.4123
Ag: 0.3333 0.6667 0.9210
Ag: 0.6667 0.3333 0.0790
Ag: 0.6667 0.3333 0.5877
Se: 0.0000 0.0000 0.5000
Se: 0.3333 0.6667 0.1667
Se: 0.6667 0.3333 0.8333

Results
**Space-group type**: R-3m
**Formation energy (no corrections)**: 515.2 meV per atom



(12)
DFT (PBE) results for a relaxed TcAgSe2 crystal.

a b c (Å): 6.4913 6.4913 6.4913
angles (deg): 90.00 90.00 90.00
Atoms (fractional coordinates):
Tc: 0.0000 0.0000 0.0000
Tc: 0.0000 0.5000 0.5000
Tc: 0.5000 0.0000 0.5000
Tc: 0.5000 0.5000 0.0000
Ag: 0.0000 0.0000 0.5000
Ag: 0.0000 0.5000 0.0000
Ag: 0.5000 0.0000 0.0000
Ag: 0.5000 0.5000 0.5000
Se: 0.2500 0.2500 0.2500
Se: 0.2500 0.2500 0.7500
Se: 0.2500 0.7500 0.2500
Se: 0.2500 0.7500 0.7500
Se: 0.7500 0.2500 0.2500
Se: 0.7500 0.2500 0.7500
Se: 0.7500 0.7500 0.2500
Se: 0.7500 0.7500 0.7500

Results
**Space-group type**: Fm-3m
**Formation energy (no corrections)**: 294.3 meV per atom



(13)
DFT (PBE) results for a relaxed TcAg2Se crystal.

a b c (Å): 3.4955 4.2635 9.6000
angles (deg): 90.00 90.00 90.00
Atoms (fractional coordinates):
Tc: 0.0000 0.0000 0.0000
Tc: 0.5000 0.5000 0.0000
Ag: 0.0000 0.5000 0.2343
Ag: 0.0000 0.5000 0.7657
Ag: 0.5000 0.0000 0.2343
Ag: 0.5000 0.0000 0.7657
Se: 0.0000 0.0000 0.5000
Se: 0.5000 0.5000 0.5000

Results
**Space-group type**: Cmmm
**Formation energy (no corrections)**: 485.7 meV per atom



(14)
DFT (PBE) results for a relaxed TcAgSe2 crystal.

a b c (Å): 3.1083 24.7865 4.1399
angles (deg): 90.00 90.00 90.00
Atoms (fractional coordinates):
Tc: 0.0000 0.1849 0.2500
Tc: 0.0000 0.8151 0.7500
Tc: 0.5000 0.3151 0.7500
Tc: 0.5000 0.6849 0.2500
Ag: 0.0000 0.4621 0.2500
Ag: 0.0000 0.5379 0.7500
Ag: 0.5000 0.0379 0.7500
Ag: 0.5000 0.9621 0.2500
Se: 0.0000 0.2896 0.2500
Se: 0.0000 0.3944 0.7500
Se: 0.0000 0.6056 0.2500
Se: 0.0000 0.7104 0.7500
Se: 0.5000 0.1056 0.2500
Se: 0.5000 0.2104 0.7500
Se: 0.5000 0.7896 0.2500
Se: 0.5000 0.8944 0.7500

Results
**Space-group type**: Cmcm
**Formation energy (no corrections)**: 30.5 meV per atom



(15)
DFT (PBE) results for a relaxed TcAg2Se crystal.

a b c (Å): 3.0109 4.5261 11.5980
angles (deg): 90.00 90.00 90.00
Atoms (fractional coordinates):
Tc: 0.0000 0.0000 0.0000
Tc: 0.5000 0.5000 0.5000
Ag: 0.0000 0.0000 0.5595
Ag: 0.0000 0.5000 0.7170
Ag: 0.5000 0.0000 0.2170
Ag: 0.5000 0.5000 0.0595
Se: 0.0000 0.5000 0.3390
Se: 0.5000 0.0000 0.8390

Results
**Space-group type**: Imm2
**Formation energy (no corrections)**: 389.1 meV per atom



(16)
DFT (PBE) results for a relaxed TcAgSe2 crystal.

a b c (Å): 3.1282 4.0378 5.7925
angles (deg): 90.00 90.00 90.00
Atoms (fractional coordinates):
Tc: 0.0000 0.0000 0.0000
Ag: 0.5000 0.5000 0.3568
Se: 0.0000 0.0000 0.5721
Se: 0.5000 0.5000 0.9031

Results
**Space-group type**: Pmm2
**Formation energy (no corrections)**: 231.2 meV per atom



(17)
DFT (PBE) results for a relaxed TcAgSe3 crystal.

a b c (Å): 4.9091 4.9091 4.9091
angles (deg): 90.00 90.00 90.00
Atoms (fractional coordinates):
Tc: 0.0000 0.0000 0.0000
Ag: 0.5000 0.5000 0.5000
Se: 0.0000 0.0000 0.5000
Se: 0.0000 0.5000 0.0000
Se: 0.5000 0.0000 0.0000

Results
**Space-group type**: Pm-3m
**Formation energy (no corrections)**: 435.9 meV per atom



(18)
DFT (PBE) results for a relaxed TcAgSe2 crystal.

a b c (Å): 3.0757 3.8447 13.0885
angles (deg): 90.00 90.00 90.00
Atoms (fractional coordinates):
Tc: 0.0000 0.0000 0.0000
Tc: 0.5000 0.5000 0.5000
Ag: 0.0000 0.5000 0.7239
Ag: 0.5000 0.0000 0.2239
Se: 0.0000 0.0000 0.5683
Se: 0.0000 0.5000 0.3501
Se: 0.5000 0.0000 0.8501
Se: 0.5000 0.5000 0.0683

Results
**Space-group type**: Imm2
**Formation energy (no corrections)**: 94.2 meV per atom



(19)
DFT (PBE) results for a relaxed TcAgSe2 crystal.

a b c (Å): 3.0857 3.0857 7.6826
angles (deg): 90.00 90.00 90.00
Atoms (fractional coordinates):
Tc: 0.0000 0.0000 0.0000
Ag: 0.0000 0.0000 0.5000
Se: 0.5000 0.5000 0.2006
Se: 0.5000 0.5000 0.7994

Results
**Space-group type**: P4/mmm
**Formation energy (no corrections)**: 72.3 meV per atom



(20)
DFT (PBE) results for a relaxed Tc2AgSe crystal.

a b c (Å): 2.9394 2.9394 25.5632
angles (deg): 90.00 90.00 120.00
Atoms (fractional coordinates):
Tc: 0.0000 0.0000 0.2402
Tc: 0.0000 0.0000 0.7598
Tc: 0.3333 0.6667 0.4265
Tc: 0.3333 0.6667 0.9068
Tc: 0.6667 0.3333 0.0932
Tc: 0.6667 0.3333 0.5735
Ag: 0.0000 0.0000 0.0000
Ag: 0.3333 0.6667 0.6667
Ag: 0.6667 0.3333 0.3333
Se: 0.0000 0.0000 0.5000
Se: 0.3333 0.6667 0.1667
Se: 0.6667 0.3333 0.8333

Results
**Space-group type**: R-3m
**Formation energy (no corrections)**: 437.3 meV per atom



(21)
DFT (PBE) results for a relaxed TcAg2Se crystal.

a b c (Å): 4.2649 2.9444 11.3094
angles (deg): 90.00 90.00 90.00
Atoms (fractional coordinates):
Tc: 0.0000 0.0000 0.0000
Tc: 0.0000 0.5000 0.5000
Ag: 0.0000 0.0000 0.2567
Ag: 0.0000 0.5000 0.7567
Ag: 0.5000 0.0000 0.6339
Ag: 0.5000 0.5000 0.1339
Se: 0.5000 0.0000 0.9022
Se: 0.5000 0.5000 0.4022

Results
**Space-group type**: Amm2
**Formation energy (no corrections)**: 353.1 meV per atom



(22)
DFT (PBE) results for a relaxed TcAgSe2 crystal.

a b c (Å): 5.6315 3.2516 8.4478
angles (deg): 90.00 102.97 90.00
Atoms (fractional coordinates):
Tc: 0.0000 0.0000 0.0000
Tc: 0.5000 0.5000 0.0000
Ag: 0.0000 0.5000 0.5000
Ag: 0.5000 0.0000 0.5000
Se: 0.2375 0.5000 0.2106
Se: 0.2625 0.0000 0.7894
Se: 0.7375 0.0000 0.2106
Se: 0.7625 0.5000 0.7894

Results
**Space-group type**: C2/m
**Formation energy (no corrections)**: -30.9 meV per atom



(23)
DFT (PBE) results for a relaxed Tl3TcAg2Se6 crystal.

a b c (Å): 7.0307 7.0307 7.2390
angles (deg): 99.41 99.41 119.79
Atoms (fractional coordinates):
Tl: 0.0000 0.0000 0.0000
Tl: 0.3389 0.6611 0.0000
Tl: 0.6611 0.3389 0.0000
Tc: 0.5000 0.5000 0.5000
Ag: 0.1679 0.8321 0.5000
Ag: 0.8321 0.1679 0.5000
Se: 0.1316 0.4365 0.2962
Se: 0.2586 0.2586 0.6981
Se: 0.4365 0.1316 0.2962
Se: 0.5635 0.8684 0.7038
Se: 0.7414 0.7414 0.3019
Se: 0.8684 0.5635 0.7038

Results
**Space-group type**: C2/m
**Formation energy (no corrections)**: -177.4 meV per atom



(24)
DFT (PBE) results for a relaxed TcAg2WSe crystal.

a b c (Å): 4.7833 4.7833 4.7179
angles (deg): 90.00 90.00 90.00
Atoms (fractional coordinates):
Tc: 0.0000 0.0000 0.0000
Ag: 0.0000 0.5000 0.5000
Ag: 0.5000 0.0000 0.5000
W: 0.5000 0.5000 0.0000
Se: 0.5000 0.5000 0.5000

Results
**Space-group type**: P4/mmm
**Formation energy (no corrections)**: 1577.4 meV per atom



(25)
DFT (PBE) results for a relaxed YTcAg2Se crystal.

a b c (Å): 5.4697 5.4697 5.2293
angles (deg): 90.00 90.00 90.00
Atoms (fractional coordinates):
Y: 0.0000 0.0000 0.0000
Tc: 0.5000 0.5000 0.5000
Ag: 0.0000 0.5000 0.0000
Ag: 0.5000 0.0000 0.0000
Se: 0.0000 0.0000 0.5000

Results
**Space-group type**: P4/mmm
**Formation energy (no corrections)**: 1105.8 meV per atom



(26)
DFT (PBE) results for a relaxed ZrTcAgSe2 crystal.

a b c (Å): 4.9338 4.9338 5.2458
angles (deg): 90.00 90.00 90.00
Atoms (fractional coordinates):
Zr: 0.0000 0.0000 0.0000
Tc: 0.5000 0.5000 0.0000
Ag: 0.0000 0.0000 0.5000
Se: 0.0000 0.5000 0.5000
Se: 0.5000 0.0000 0.5000

Results
**Space-group type**: P4/mmm
**Formation energy (no corrections)**: 1241.3 meV per atom



(27)
DFT (PBE) results for a relaxed Ag3TeSe4 crystal.

a b c (Å): 11.2305 7.9730 4.0776
angles (deg): 90.00 90.77 90.00
Atoms (fractional coordinates):
Ag: 0.0000 0.0000 0.0000
Ag: 0.2500 0.2500 0.5000
Ag: 0.2500 0.7500 0.5000
Ag: 0.5000 0.5000 0.0000
Ag: 0.7500 0.2500 0.5000
Ag: 0.7500 0.7500 0.5000
Te: 0.0000 0.5000 0.0000
Te: 0.5000 0.0000 0.0000
Se: 0.0000 0.2440 0.5000
Se: 0.0000 0.7560 0.5000
Se: 0.2464 0.0000 0.9419
Se: 0.2536 0.5000 0.0581
Se: 0.5000 0.2560 0.5000
Se: 0.5000 0.7440 0.5000
Se: 0.7464 0.5000 0.9419
Se: 0.7536 0.0000 0.0581

Results
**Space-group type**: C2/m
**Formation energy (no corrections)**: -20.3 meV per atom



(28)
DFT (PBE) results for a relaxed Ag4Te3Se crystal.

a b c (Å): 8.6908 7.0513 7.7981
angles (deg): 90.00 90.00 90.00
Atoms (fractional coordinates):
Ag: 0.0000 0.1506 0.0000
Ag: 0.0000 0.8375 0.4768
Ag: 0.2394 0.6757 0.9968
Ag: 0.2606 0.3243 0.4968
Ag: 0.5000 0.1625 0.9768
Ag: 0.5000 0.8494 0.5000
Ag: 0.7394 0.3243 0.4968
Ag: 0.7606 0.6757 0.9968
Te: 0.0000 0.1772 0.6491
Te: 0.2460 0.6770 0.6467
Te: 0.2540 0.3230 0.1467
Te: 0.5000 0.8228 0.1491
Te: 0.7460 0.3230 0.1467
Te: 0.7540 0.6770 0.6467
Se: 0.0000 0.8203 0.1475
Se: 0.5000 0.1797 0.6475

Results
**Space-group type**: Pmn2_1
**Formation energy (no corrections)**: 85.3 meV per atom